# 1
# PmSbPd, relaxed, DFT PBE
data_PmSbPd
_symmetry_space_group_name_H-M 'P 1'
_symmetry_Int_Tables_number 1
_symmetry_space_group_name_Hall 'P 1'
_cell_length_a 4.964
_cell_length_b 4.964
_cell_length_c 4.964
_cell_angle_alpha 60.00
_cell_angle_beta 60.00
_cell_angle_gamma 60.00
loop_
_atom_site_label
_atom_site_type_symbol
_atom_site_fract_x
_atom_site_fract_y
_atom_site_fract_z
_atom_site_occupancy
Pm1 Pm 0.000 0.000 0.000 1
Sb1 Sb 0.250 0.250 0.250 1
Pd1 Pd 0.750 0.750 0.750 1
# Magnetization ... 0.00 μB/cell
# V ... 28.82 A^3/atom
# Energy relative to the lowest polymorph listed for this composition ... 751 meV/atom
# Space-group type ... F-43m (216)

# 2
# PmSbPd, relaxed, DFT PBE
data_PmSbPd
_symmetry_space_group_name_H-M 'P 1'
_symmetry_Int_Tables_number 1
_symmetry_space_group_name_Hall 'P 1'
_cell_length_a 4.742
_cell_length_b 4.742
_cell_length_c 4.742
_cell_angle_alpha 60.00
_cell_angle_beta 60.00
_cell_angle_gamma 60.00
loop_
_atom_site_label
_atom_site_type_symbol
_atom_site_fract_x
_atom_site_fract_y
_atom_site_fract_z
_atom_site_occupancy
Pm1 Pm 0.000 0.000 0.000 1
Sb1 Sb 0.500 0.500 0.500 1
Pd1 Pd 0.250 0.250 0.250 1
# Magnetization ... 0.00 μB/cell
# V ... 25.13 A^3/atom
# Energy relative to the lowest polymorph listed for this composition ... 0 meV/atom
# Space-group type ... F-43m (216)

# 3
# PmScPd, relaxed, DFT PBE
data_PmScPd
_symmetry_space_group_name_H-M 'P 1'
_symmetry_Int_Tables_number 1
_symmetry_space_group_name_Hall 'P 1'
_cell_length_a 4.805
_cell_length_b 4.805
_cell_length_c 4.805
_cell_angle_alpha 60.00
_cell_angle_beta 60.00
_cell_angle_gamma 60.00
loop_
_atom_site_label
_atom_site_type_symbol
_atom_site_fract_x
_atom_site_fract_y
_atom_site_fract_z
_atom_site_occupancy
Pm1 Pm 0.000 0.000 0.000 1
Sc1 Sc 0.500 0.500 0.500 1
Pd1 Pd 0.250 0.250 0.250 1
# Magnetization ... 0.00 μB/cell
# V ... 26.15 A^3/atom
# Energy relative to the lowest polymorph listed for this composition ... 0 meV/atom
# Formation energy from the elements ... -0.394 eV per atom
# Space-group type ... F-43m (216)

# 4
# Pm2SiPd6, relaxed, DFT PBE
data_Pm2SiPd6
_symmetry_space_group_name_H-M 'P 1'
_symmetry_Int_Tables_number 1
_symmetry_space_group_name_Hall 'P 1'
_cell_length_a 5.757
_cell_length_b 5.757
_cell_length_c 5.703
_cell_angle_alpha 90.00
_cell_angle_beta 90.00
_cell_angle_gamma 120.00
loop_
_atom_site_label
_atom_site_type_symbol
_atom_site_fract_x
_atom_site_fract_y
_atom_site_fract_z
_atom_site_occupancy
Pm1 Pm 0.333 0.667 0.316 1
Pm2 Pm 0.667 0.333 0.684 1
Si1 Si 0.000 0.000 0.500 1
Pd1 Pd 0.170 0.341 0.800 1
Pd2 Pd 0.170 0.830 0.800 1
Pd3 Pd 0.341 0.170 0.200 1
Pd4 Pd 0.659 0.830 0.800 1
Pd5 Pd 0.830 0.170 0.200 1
Pd6 Pd 0.830 0.659 0.200 1
# Magnetization ... 0.01 μB/cell
# Energy ... -5.95 eV per atom
# V ... 18.19 A^3/atom
# Space-group type ... P-3m1 (164)